! PbIF2 meta-GGA SCAN single point on PBEsol structure; values from VASP
&SYSTEM
  ibrav = 0, nat = 8, ntyp = 3
/
ATOMIC_SPECIES
Pb 207.20 Pb.upf
I 126.90 I.upf
F 19.00 F.upf
CELL_PARAMETERS angstrom
-3.5876 3.5876 4.8426
3.5876 -3.5876 4.8426
3.5876 3.5876 -4.8426
ATOMIC_POSITIONS crystal
Pb 0.0000 0.0000 0.0000
Pb 0.7500 0.2500 0.5000
I 0.2500 0.7500 0.5000
I 0.5000 0.5000 0.0000
F 0.3750 0.2171 0.3421
F 0.7829 0.1250 0.1579
F 0.8750 0.0329 0.6579
F 0.9671 0.6250 0.8421
! Uncorrected formation energy, eV/atom: -1.337
! Symmetry: No. 122
! Crystal system: tetragonal